1.
# Ba2CaGaN PBE relaxed
data_Ba2CaGaN
_chemical_formula_sum 'Ba2 Ca1 Ga1 N1'
_cell_length_a 6.804
_cell_length_b 6.804
_cell_length_c 5.254
_cell_angle_alpha 90.00
_cell_angle_beta 90.00
_cell_angle_gamma 90.00
_symmetry_space_group_name_H-M 'P 4/m m m'
_symmetry_Int_Tables_number 123
_symmetry_space_group_name_Hall '-P 4 2'
loop_
_atom_site_label
_atom_site_fract_x
_atom_site_fract_y
_atom_site_fract_z
Ba1 0.000 0.500 0.000
Ca1 0.000 0.000 0.000
Ga1 0.000 0.000 0.500
N1 0.500 0.500 0.500
# * distance to the lowest polymorph of the same formula: 156.7 kJ/mol of atoms
# * E_form (uncorrected): 1269 meV/atom
# * crystal system: tetragonal
# * magnetic moment: 1.55 μB per formula unit
# * total DFT energy (no corrections): -2.171 eV/atom

=====

2.
# Ac19Tb6Sm4 PBE relaxed
data_Ac19Tb6Sm4
_chemical_formula_sum 'Ac38 Tb12 Sm8'
_cell_length_a 13.577
_cell_length_b 13.577
_cell_length_c 13.577
_cell_angle_alpha 90.00
_cell_angle_beta 90.00
_cell_angle_gamma 90.00
_symmetry_space_group_name_H-M 'I 2 3'
_symmetry_Int_Tables_number 197
_symmetry_space_group_name_Hall 'I 2 2 3'
loop_
_atom_site_label
_atom_site_fract_x
_atom_site_fract_y
_atom_site_fract_z
Ac1 0.000 0.000 0.000
Ac2 0.000 0.000 0.267
Ac3 0.062 0.278 0.280
Tb1 0.000 0.384 0.500
Sm1 0.176 0.176 0.824
# * crystal system: cubic
# * magnetic moment: 0.00 μB per formula unit
# * total DFT energy (no corrections): -3.931 eV/atom

=====

3.
# Be2H PBE relaxed
data_Be2H
_chemical_formula_sum 'Be4 H2'
_cell_length_a 2.116
_cell_length_b 3.324
_cell_length_c 7.547
_cell_angle_alpha 90.00
_cell_angle_beta 90.83
_cell_angle_gamma 90.00
_symmetry_space_group_name_H-M 'P 1 21/m 1'
_symmetry_Int_Tables_number 11
loop_
_symmetry_equiv_pos_as_xyz
'x,y,z'
'-x,-y,-z'
'-x,y+1/2,-z'
'x,-y+1/2,z'
loop_
_atom_site_label
_atom_site_fract_x
_atom_site_fract_y
_atom_site_fract_z
Be1 0.238 0.250 0.275
Be2 0.253 0.250 0.562
H1 0.268 0.750 0.853
# * distance to the lowest polymorph of the same formula: 0.0 kJ/mol of atoms
# * crystal system: monoclinic
# * magnetic moment: 0.00 μB per formula unit
# * total DFT energy (no corrections): -3.543 eV/atom

=====

4.
# K2UHgSe4 PBE relaxed
data_K2UHgSe4
_chemical_formula_sum 'K4 U2 Hg2 Se8'
_cell_length_a 7.779
_cell_length_b 7.779
_cell_length_c 9.406
_cell_angle_alpha 90.00
_cell_angle_beta 90.00
_cell_angle_gamma 90.00
_symmetry_space_group_name_H-M 'I -4'
_symmetry_Int_Tables_number 82
loop_
_symmetry_equiv_pos_as_xyz
'x,y,z'
'y,-x,-z'
'-x,-y,z'
'-y,x,-z'
'x+1/2,y+1/2,z+1/2'
'y+1/2,-x+1/2,-z+1/2'
'-x+1/2,-y+1/2,z+1/2'
'-y+1/2,x+1/2,-z+1/2'
loop_
_atom_site_label
_atom_site_fract_x
_atom_site_fract_y
_atom_site_fract_z
K1 0.000 0.000 0.000
K2 0.000 0.500 0.250
U1 0.000 0.500 0.750
Hg1 0.000 0.000 0.500
Se1 0.192 0.749 0.625
# * E_form (uncorrected): -808 meV/atom
# * crystal system: tetragonal
# * magnetic moment: 2.00 μB per formula unit
# * total DFT energy (no corrections): -4.273 eV/atom

=====

5.
# Lu3Ge5Te12 PBE relaxed
data_Lu3Ge5Te12
_chemical_formula_sum 'Lu24 Ge40 Te96'
_cell_length_a 17.258
_cell_length_b 17.258
_cell_length_c 17.258
_cell_angle_alpha 90.00
_cell_angle_beta 90.00
_cell_angle_gamma 90.00
_symmetry_space_group_name_H-M 'I a -3 d'
_symmetry_Int_Tables_number 230
_symmetry_space_group_name_Hall '-I 4bd 2c 3'
loop_
_atom_site_label
_atom_site_fract_x
_atom_site_fract_y
_atom_site_fract_z
Lu1 0.000 0.250 0.125
Ge1 0.000 0.000 0.000
Ge2 0.000 0.250 0.375
Te1 0.020 0.065 0.654
# * E_form (uncorrected): -424 meV/atom
# * crystal system: cubic
# * magnetic moment: 0.00 μB per formula unit
# * total DFT energy (no corrections): -4.142 eV/atom

=====

6.
# Ac6Rh3Au PBE relaxed
data_Ac6Rh3Au
_chemical_formula_sum 'Ac12 Rh6 Au2'
_cell_length_a 12.487
_cell_length_b 4.361
_cell_length_c 13.326
_cell_angle_alpha 90.00
_cell_angle_beta 112.12
_cell_angle_gamma 90.00
_symmetry_space_group_name_H-M 'P 1 21/m 1'
_symmetry_Int_Tables_number 11
loop_
_symmetry_equiv_pos_as_xyz
'x,y,z'
'-x,-y,-z'
'-x,y+1/2,-z'
'x,-y+1/2,z'
loop_
_atom_site_label
_atom_site_fract_x
_atom_site_fract_y
_atom_site_fract_z
Ac1 0.047 0.250 0.390
Ac2 0.096 0.750 0.936
Ac3 0.248 0.250 0.777
Ac4 0.249 0.750 0.264
Ac5 0.406 0.250 0.563
Ac6 0.436 0.250 0.105
Rh1 0.006 0.250 0.776
Rh2 0.336 0.750 0.942
Rh3 0.418 0.250 0.339
Au1 0.201 0.750 0.573
# * crystal system: monoclinic
# * magnetic moment: 0.00 μB per formula unit
# * total DFT energy (no corrections): -5.646 eV/atom

=====

7.
# MnCdPt2 PBE relaxed
data_MnCdPt2
_chemical_formula_sum 'Mn4 Cd4 Pt8'
_cell_length_a 5.594
_cell_length_b 5.603
_cell_length_c 8.341
_cell_angle_alpha 90.00
_cell_angle_beta 90.00
_cell_angle_gamma 90.00
_symmetry_space_group_name_H-M 'F 2 2 2'
_symmetry_Int_Tables_number 22
_symmetry_space_group_name_Hall 'F 2 2'
loop_
_atom_site_label
_atom_site_fract_x
_atom_site_fract_y
_atom_site_fract_z
Mn1 0.000 0.000 0.000
Cd1 0.250 0.250 0.250
Pt1 0.000 0.000 0.500
Pt2 0.250 0.250 0.750
# * crystal system: orthorhombic
# * magnetic moment: 4.31 μB per formula unit
# * total DFT energy (no corrections): -5.802 eV/atom

=====

8.
# Tb7DyIn2 PBE relaxed
data_Tb7DyIn2
_chemical_formula_sum 'Tb14 Dy2 In4'
_cell_length_a 9.162
_cell_length_b 15.561
_cell_length_c 5.377
_cell_angle_alpha 90.00
_cell_angle_beta 90.00
_cell_angle_gamma 90.00
_symmetry_space_group_name_H-M 'C m m m'
_symmetry_Int_Tables_number 65
_symmetry_space_group_name_Hall '-C 2 2'
loop_
_atom_site_label
_atom_site_fract_x
_atom_site_fract_y
_atom_site_fract_z
Tb1 0.000 0.000 0.000
Tb2 0.000 0.274 0.500
Tb3 0.181 0.379 0.000
Dy1 0.000 0.500 0.500
In1 0.000 0.196 0.000
# * crystal system: orthorhombic
# * magnetic moment: 0.04 μB per formula unit
# * total DFT energy (no corrections): -3.901 eV/atom

=====

Number 1: DOS(E_F) 1.00 states/eV/atom. Number 2: DOS(E_F) 1.66 states/eV/atom. Number 3: DOS(E_F) 0.06 states/eV/atom. Number 4: DOS(E_F) 1.32 states/eV/atom. Number 5: DOS(E_F) 0.32 states/eV/atom. Number 6: DOS(E_F) 0.58 states/eV/atom. Number 7: DOS(E_F) 0.44 states/eV/atom. Number 8: DOS(E_F) 2.13 states/eV/atom.